## a
DFT (PBE) results for an optimized crystal structure of Li3PrCd3.

The space group is Pm-3n (No. 223) and the conventional cell measures 7.0094, 7.0094 and 7.0094 Å, with angles of 90.00, 90.00 and 90.00 degrees. Symmetry generates all atoms from Li at (0.0000, 0.2500, 0.5000), Pr at (0.0000, 0.0000, 0.0000) and Cd at (0.0000, 0.5000, 0.2500).

Its total magnetic moment is 0.00 μB per cell. The value obtained for the calculated density is 4.81 g/cm3. The value obtained for the density of states at the Fermi level is 10.7 states/eV per cell. The crystal system is cubic.

## b
DFT (PBE) results for an optimized crystal structure of Li3PrCd3.

The space group is R-3 (No. 148, hexagonal axes) and the conventional cell measures 7.5335, 7.5335 and 19.0083 Å, with angles of 90.00, 90.00 and 120.00 degrees. Symmetry generates all atoms from Li at (0.0019, 0.7846, 0.4361), Pr at (0.0000, 0.0000, 0.1506) and Cd at (0.0495, 0.4437, 0.3769).

Its total magnetic moment is 0.00 μB per cell. The value obtained for the calculated density is 5.32 g/cm3. The value obtained for the density of states at the Fermi level is 20.9 states/eV per cell. The crystal system is trigonal.

Least stable of them? a.

## a
DFT (PBE) results for an optimized crystal structure of Li2Pr3Cd4.

The space group is C2/m (No. 12) and the conventional cell measures 11.0939, 5.1212 and 9.5148 Å, with angles of 90.00, 122.04 and 90.00 degrees. Symmetry generates all atoms from Li at (0.1140, 0.0000, 0.2814), Pr at (0.0000, 0.5000, 0.0000), Pr at (0.1650, 0.0000, 0.6668), Cd at (0.0605, 0.5000, 0.3880) and Cd at (0.2196, 0.0000, 0.0598).

Its total magnetic moment is 0.00 μB per cell. The value obtained for the calculated density is 6.42 g/cm3. The value obtained for the density of states at the Fermi level is 13.4 states/eV per cell. The crystal system is monoclinic.

## b
DFT (PBE) results for an optimized crystal structure of Li2Pr3Cd4.

The space group is C2/m (No. 12) and the conventional cell measures 9.5411, 5.3518 and 9.2681 Å, with angles of 90.00, 98.42 and 90.00 degrees. Symmetry generates all atoms from Li at (0.2244, 0.0000, 0.3982), Pr at (0.0000, 0.5000, 0.0000), Pr at (0.1242, 0.0000, 0.7352), Cd at (0.0609, 0.5000, 0.3651) and Cd at (0.1859, 0.0000, 0.0980).

Its total magnetic moment is 0.00 μB per cell. The value obtained for the calculated density is 6.29 g/cm3. The value obtained for the density of states at the Fermi level is 14.1 states/eV per cell. The crystal system is monoclinic.

Least stable of them? b.

## a
DFT (PBE) results for an optimized crystal structure of LiPr6Cd.

The space group is I4/mmm (No. 139) and the conventional cell measures 5.2902, 5.2902 and 18.5781 Å, with angles of 90.00, 90.00 and 90.00 degrees. Symmetry generates all atoms from Li at (0.0000, 0.0000, 0.0000), Pr at (0.0000, 0.0000, 0.2492), Pr at (0.0000, 0.5000, 0.1117) and Cd at (0.0000, 0.0000, 0.5000).

Its total magnetic moment is 0.00 μB per cell. The value obtained for the calculated density is 6.16 g/cm3. The value obtained for the density of states at the Fermi level is 19.8 states/eV per cell. The crystal system is tetragonal.

## b
DFT (PBE) results for an optimized crystal structure of LiPr6Cd.

The space group is R-3 (No. 148, hexagonal axes) and the conventional cell measures 9.3135, 9.3135 and 10.2777 Å, with angles of 90.00, 90.00 and 120.00 degrees. Symmetry generates all atoms from Li at (0.0000, 0.0000, 0.0000), Pr at (0.0262, 0.2565, 0.2202) and Cd at (0.0000, 0.0000, 0.5000).

Its total magnetic moment is 0.00 μB per cell. The value obtained for the calculated density is 6.23 g/cm3. The value obtained for the density of states at the Fermi level is 25.0 states/eV per cell. The crystal system is trigonal.

Least stable of them? b.